A | {
  "formula": "LiPrBr4",
  "functional": "GGA-PBE",
  "state": "relaxed",
  "n_ef_per_ev_atom": 0.000,
  "lattice": [[4.292, 0.000, 0.000], [0.000, 6.940, -1.145], [0.000, 0.482, 7.143]],
  "species": ["Br", "Li", "Br", "Pr", "Br", "Br"],
  "fractional_positions": [[0.000, 0.788, 0.325], [0.500, 0.000, 0.500], [0.000, 0.212, 0.675], [0.000, 0.000, 0.000], [0.500, 0.764, 0.811], [0.500, 0.236, 0.189]]
}

B | {
  "formula": "LiPrBr4",
  "functional": "GGA-PBE",
  "state": "relaxed",
  "n_ef_per_ev_atom": 0.000,
  "lattice": [[-6.466, -2.737, -0.091], [2.128, -1.552, -6.338], [5.463, -5.739, 6.251]],
  "species": ["Li", "Br", "Pr", "Br", "Br", "Li", "Br", "Br", "Br", "Pr", "Br", "Br"],
  "fractional_positions": [[0.137, 0.887, 0.775], [0.591, 0.306, 0.094], [0.333, 0.583, 0.167], [0.997, 0.212, 0.906], [0.335, 0.055, 0.642], [0.863, 0.113, 0.225], [0.409, 0.694, 0.906], [0.807, 0.588, 0.642], [0.003, 0.788, 0.094], [0.667, 0.417, 0.833], [0.193, 0.412, 0.358], [0.665, 0.945, 0.358]]
}

It comes down to A, which is 10 meV per atom more stable than the next structure.

A | {
  "formula": "LiPtBr2",
  "functional": "GGA-PBE",
  "state": "relaxed",
  "n_ef_per_ev_atom": 0.433,
  "lattice": [[5.540, 0.000, 0.000], [0.000, 5.540, 0.000], [2.770, 2.770, 6.778]],
  "species": ["Br", "Li", "Pt", "Br", "Br", "Br", "Li", "Pt"],
  "fractional_positions": [[0.121, 0.625, 0.250], [0.500, 0.500, 0.000], [0.000, 0.000, 0.000], [0.629, 0.125, 0.250], [0.375, 0.371, 0.750], [0.875, 0.879, 0.750], [0.250, 0.750, 0.500], [0.750, 0.250, 0.500]]
}

B | {
  "formula": "LiPtBr2",
  "functional": "GGA-PBE",
  "state": "relaxed",
  "n_ef_per_ev_atom": 0.384,
  "lattice": [[3.629, -0.001, 0.000], [0.003, 3.629, 0.000], [0.000, 0.000, 7.595]],
  "species": ["Br", "Li", "Pt", "Br"],
  "fractional_positions": [[0.000, 0.000, 0.891], [0.000, 0.000, 0.385], [0.500, 0.500, 0.835], [0.500, 0.500, 0.389]]
}

C | {
  "formula": "LiPtBr2",
  "functional": "GGA-PBE",
  "state": "relaxed",
  "n_ef_per_ev_atom": 0.302,
  "lattice": [[-0.955, -1.964, -3.185], [1.865, -3.099, 1.352], [-4.622, -1.715, 2.445]],
  "species": ["Br", "Br", "Li", "Pt"],
  "fractional_positions": [[0.000, 0.000, 0.875], [0.500, 0.500, 0.374], [0.000, 0.000, 0.377], [0.500, 0.500, 0.874]]
}

D | {
  "formula": "LiPtBr2",
  "functional": "GGA-PBE",
  "state": "relaxed",
  "n_ef_per_ev_atom": 1.829,
  "lattice": [[-0.655, -3.186, -3.662], [3.604, -3.074, -1.246], [-0.420, -4.784, 0.962]],
  "species": ["Pt", "Br", "Li", "Br"],
  "fractional_positions": [[0.750, 0.750, 0.750], [0.000, 0.000, 0.000], [0.500, 0.500, 0.500], [0.250, 0.250, 0.250]]
}

It comes down to C, which is 70 meV per atom more stable than the next structure.

A | {
  "formula": "LiPtBr2",
  "functional": "GGA-PBE",
  "state": "relaxed",
  "n_ef_per_ev_atom": 0.445,
  "lattice": [[-6.249, 2.035, -4.465], [-6.190, -1.583, -4.723], [-2.334, -0.236, 2.772]],
  "species": ["Pt", "Br", "Li", "Br"],
  "fractional_positions": [[0.777, 0.777, 0.841], [0.249, 0.249, 0.351], [0.483, 0.483, 0.405], [0.991, 0.991, 0.902]]
}

B | {
  "formula": "LiPtBr2",
  "functional": "GGA-PBE",
  "state": "relaxed",
  "n_ef_per_ev_atom": 0.771,
  "lattice": [[0.000, 3.440, 3.440], [3.440, 0.000, 3.440], [3.440, 3.440, 0.000]],
  "species": ["Br", "Li", "Pt", "Br"],
  "fractional_positions": [[0.750, 0.750, 0.750], [0.000, 0.000, 0.000], [0.500, 0.500, 0.500], [0.250, 0.250, 0.250]]
}

It comes down to A, which is 342 meV per atom more stable than the next structure.

A | {
  "formula": "LiPtBr",
  "functional": "GGA-PBE",
  "state": "relaxed",
  "n_ef_per_ev_atom": 0.362,
  "lattice": [[3.775, -2.179, 0.000], [0.000, 4.359, 0.000], [0.000, 0.000, 7.495]],
  "species": ["Li", "Li", "Br", "Pt", "Br", "Pt"],
  "fractional_positions": [[0.000, 0.000, 0.000], [0.000, 0.000, 0.500], [0.667, 0.333, 0.250], [0.667, 0.333, 0.750], [0.333, 0.667, 0.750], [0.333, 0.667, 0.250]]
}

B | {
  "formula": "LiPtBr",
  "functional": "GGA-PBE",
  "state": "relaxed",
  "n_ef_per_ev_atom": 0.000,
  "lattice": [[-3.819, -4.703, -5.779], [5.163, 1.042, -1.506], [2.216, -2.918, 0.874]],
  "species": ["Br", "Pt", "Pt", "Li", "Br", "Li"],
  "fractional_positions": [[0.958, 0.818, 0.867], [0.873, 0.441, 0.556], [0.877, 0.103, 0.225], [0.177, 0.413, 0.567], [0.381, 0.504, 0.019], [0.618, 0.954, 0.804]]
}

C | {
  "formula": "LiPtBr",
  "functional": "GGA-PBE",
  "state": "relaxed",
  "n_ef_per_ev_atom": 0.000,
  "lattice": [[9.281, 0.000, 0.103], [1.885, 1.856, -3.995], [-1.885, 1.856, 3.995]],
  "species": ["Li", "Li", "Pt", "Br", "Br", "Pt"],
  "fractional_positions": [[0.948, 0.336, 0.664], [0.197, 0.830, 0.170], [0.894, 0.075, 0.925], [0.696, 0.604, 0.396], [0.292, 0.080, 0.920], [0.089, 0.576, 0.424]]
}

It comes down to C, which is 112 meV per atom more stable than the next structure.

A | {
  "formula": "LiPtBr",
  "functional": "GGA-PBE",
  "state": "relaxed",
  "n_ef_per_ev_atom": 0.390,
  "lattice": [[-1.344, -0.965, -4.801], [-2.368, -4.273, -1.385], [-0.294, 3.688, 3.479]],
  "species": ["Br", "Pt", "Li"],
  "fractional_positions": [[0.975, 0.975, 0.000], [0.696, 0.696, 0.000], [0.329, 0.329, 0.000]]
}

B | {
  "formula": "LiPtBr",
  "functional": "GGA-PBE",
  "state": "relaxed",
  "n_ef_per_ev_atom": 0.009,
  "lattice": [[-4.364, -5.429, -2.665], [2.245, -2.588, 1.596], [-4.833, 0.306, 7.291]],
  "species": ["Br", "Li", "Br", "Li", "Br", "Pt", "Br", "Pt", "Pt", "Li", "Li", "Pt"],
  "fractional_positions": [[0.749, 0.750, 0.013], [0.999, 0.250, 0.754], [0.251, 0.250, 0.987], [0.001, 0.750, 0.246], [0.751, 0.250, 0.513], [0.750, 0.250, 0.234], [0.249, 0.750, 0.487], [0.750, 0.750, 0.734], [0.250, 0.750, 0.766], [0.499, 0.250, 0.746], [0.501, 0.750, 0.254], [0.250, 0.250, 0.266]]
}

It comes down to B, which is 109 meV per atom more stable than the next structure.

A | {
  "formula": "LiPtBr",
  "functional": "GGA-PBE",
  "state": "relaxed",
  "n_ef_per_ev_atom": 0.664,
  "lattice": [[4.257, 0.000, 0.000], [2.129, 3.687, 0.000], [2.129, 1.229, 3.476]],
  "species": ["Pt", "Br", "Li"],
  "fractional_positions": [[0.000, 0.000, 0.000], [0.500, 0.500, 0.500], [0.750, 0.750, 0.750]]
}

B | {
  "formula": "LiPtBr",
  "functional": "GGA-PBE",
  "state": "relaxed",
  "n_ef_per_ev_atom": 0.000,
  "lattice": [[11.577, 0.000, 0.021], [2.996, 1.844, -3.001], [-2.996, 1.844, 3.001]],
  "species": ["Li", "Pt", "Br", "Pt", "Br", "Li"],
  "fractional_positions": [[0.000, 0.000, 0.000], [0.106, 0.176, 0.824], [0.673, 0.503, 0.497], [0.894, 0.824, 0.176], [0.327, 0.497, 0.503], [0.500, 0.000, 0.000]]
}

C | {
  "formula": "LiPtBr",
  "functional": "GGA-PBE",
  "state": "relaxed",
  "n_ef_per_ev_atom": 0.005,
  "lattice": [[-0.278, -7.791, -2.236], [3.008, 0.630, -2.568], [5.349, -1.858, 5.810]],
  "species": ["Li", "Li", "Br", "Li", "Pt", "Br", "Li", "Pt", "Pt", "Br", "Br", "Pt"],
  "fractional_positions": [[0.595, 0.750, 0.893], [0.095, 0.750, 0.607], [0.194, 0.750, 0.211], [0.905, 0.250, 0.393], [0.275, 0.750, 0.920], [0.306, 0.250, 0.711], [0.405, 0.250, 0.107], [0.775, 0.750, 0.580], [0.725, 0.250, 0.080], [0.694, 0.750, 0.289], [0.806, 0.250, 0.789], [0.225, 0.250, 0.420]]
}

It comes down to B, which is 355 meV per atom more stable than the next structure.

A | {
  "formula": "Li3PtBr",
  "functional": "GGA-PBE",
  "state": "relaxed",
  "n_ef_per_ev_atom": 0.000,
  "lattice": [[4.805, 0.000, 0.000], [0.000, 4.805, 0.000], [0.000, 0.000, 4.805]],
  "species": ["Li", "Pt", "Li", "Br", "Li"],
  "fractional_positions": [[0.000, 0.500, 0.000], [0.000, 0.000, 0.000], [0.000, 0.000, 0.500], [0.500, 0.500, 0.500], [0.500, 0.000, 0.000]]
}

B | {
  "formula": "Li3PtBr",
  "functional": "GGA-PBE",
  "state": "relaxed",
  "n_ef_per_ev_atom": 0.000,
  "lattice": [[4.649, 0.000, 0.000], [0.000, 4.649, 0.000], [0.000, 0.000, 4.649]],
  "species": ["Li", "Pt", "Br", "Li", "Li"],
  "fractional_positions": [[0.000, 0.000, 0.500], [0.500, 0.500, 0.500], [0.000, 0.000, 0.000], [0.500, 0.000, 0.000], [0.000, 0.500, 0.000]]
}

It comes down to A, which is 151 meV per atom more stable than the next structure.

A | {
  "formula": "LiPuBr6",
  "functional": "GGA-PBE",
  "state": "relaxed",
  "n_ef_per_ev_atom": 1.278,
  "lattice": [[-3.418, 5.040, -3.400], [-6.827, -0.654, -1.259], [-4.690, 4.274, 3.898]],
  "species": ["Br", "Br", "Li", "Br", "Br", "Br", "Br", "Pu"],
  "fractional_positions": [[0.098, 0.392, 0.750], [0.608, 0.240, 0.250], [0.500, 0.500, 0.500], [0.902, 0.608, 0.250], [0.240, 0.902, 0.250], [0.760, 0.098, 0.750], [0.392, 0.760, 0.750], [0.000, 0.000, 0.000]]
}

B | {
  "formula": "LiPuBr6",
  "functional": "GGA-PBE",
  "state": "relaxed",
  "n_ef_per_ev_atom": 1.357,
  "lattice": [[-1.560, -6.206, -4.382], [0.007, -0.104, 7.008], [-5.505, 4.714, -1.284]],
  "species": ["Br", "Pu", "Br", "Br", "Br", "Br", "Li", "Br"],
  "fractional_positions": [[0.271, 0.543, 0.000], [0.500, 0.000, 0.000], [0.392, 0.146, 0.290], [0.898, 0.143, 0.290], [0.102, 0.857, 0.710], [0.608, 0.854, 0.710], [0.000, 0.000, 0.000], [0.729, 0.457, 0.000]]
}

It comes down to B, which is 16 meV per atom more stable than the next structure.